#1
Entry from Alexandria: an optimized crystal structure of Ga2PtI (PBE).

Cell lengths 4.9840, 4.9840, 4.9840 Å; angles 60.00, 60.00, 60.00 degrees
Sites, in units of the cell vectors:
Ga 0.2500 0.2500 0.2500
Ga 0.7500 0.7500 0.7500
Pt 0.0000 0.0000 0.0000
I 0.5000 0.5000 0.5000


#2
Entry from Alexandria: an optimized crystal structure of Ga2PtI (PBE).

Cell lengths 7.7976, 7.7976, 7.7976 Å; angles 133.08, 133.08, 68.52 degrees
Sites, in units of the cell vectors:
Ga 0.0243 0.6250 0.8993
Ga 0.3750 0.2743 0.3993
Ga 0.7257 0.1250 0.1007
Ga 0.8750 0.9757 0.6007
Pt 0.0000 0.0000 0.0000
Pt 0.7500 0.2500 0.5000
I 0.2500 0.7500 0.5000
I 0.5000 0.5000 0.0000


Energy comparison, zero being the most stable, in eV/atom: #1 0.557; #2 0.000.


#1
Entry from Alexandria: an optimized crystal structure of GaSb2PtI (PBE).

Cell lengths 5.2781, 5.2781, 5.2619 Å; angles 90.00, 90.00, 90.00 degrees
Sites, in units of the cell vectors:
Ga 0.0000 0.0000 0.0000
Sb 0.0000 0.5000 0.0000
Sb 0.5000 0.0000 0.0000
Pt 0.5000 0.5000 0.5000
I 0.0000 0.0000 0.5000


#2
Entry from Alexandria: an optimized crystal structure of GaSb2PtI (PBE).

Cell lengths 5.2347, 5.2347, 5.8561 Å; angles 90.00, 90.00, 90.00 degrees
Sites, in units of the cell vectors:
Ga 0.0000 0.0000 0.0000
Sb 0.0000 0.5000 0.5000
Sb 0.5000 0.0000 0.5000
Pt 0.5000 0.5000 0.5000
I 0.5000 0.5000 0.0000


Energy comparison, zero being the most stable, in eV/atom: #1 0.615; #2 0.000.


#1
Entry from Alexandria: an optimized crystal structure of GaSbPtI2 (PBE).

Cell lengths 5.7238, 5.7238, 5.1230 Å; angles 90.00, 90.00, 90.00 degrees
Sites, in units of the cell vectors:
Ga 0.0000 0.0000 0.0000
Sb 0.5000 0.5000 0.0000
Pt 0.5000 0.5000 0.5000
I 0.0000 0.5000 0.5000
I 0.5000 0.0000 0.5000


#2
Entry from Alexandria: an optimized crystal structure of GaSbPtI2 (PBE).

Cell lengths 5.3908, 5.3908, 5.4555 Å; angles 90.00, 90.00, 90.00 degrees
Sites, in units of the cell vectors:
Ga 0.0000 0.0000 0.0000
Sb 0.0000 0.0000 0.5000
Pt 0.5000 0.5000 0.5000
I 0.0000 0.5000 0.0000
I 0.5000 0.0000 0.0000


Energy comparison, zero being the most stable, in eV/atom: #1 0.000; #2 0.722.


#1
Entry from Alexandria: an optimized crystal structure of GaTe2PtI (PBE).

Cell lengths 5.3364, 5.3364, 5.6695 Å; angles 90.00, 90.00, 90.00 degrees
Sites, in units of the cell vectors:
Ga 0.0000 0.0000 0.0000
Te 0.0000 0.5000 0.5000
Te 0.5000 0.0000 0.5000
Pt 0.5000 0.5000 0.5000
I 0.5000 0.5000 0.0000


#2
Entry from Alexandria: an optimized crystal structure of GaTe2PtI (PBE).

Cell lengths 5.3540, 5.3540, 5.2923 Å; angles 90.00, 90.00, 90.00 degrees
Sites, in units of the cell vectors:
Ga 0.0000 0.0000 0.0000
Te 0.0000 0.5000 0.0000
Te 0.5000 0.0000 0.0000
Pt 0.5000 0.5000 0.5000
I 0.0000 0.0000 0.5000


Energy comparison, zero being the most stable, in eV/atom: #1 0.000; #2 0.696.


#1
Entry from Alexandria: an optimized crystal structure of Pu2GaI (PBE).

Cell lengths 5.2456, 5.2456, 5.2456 Å; angles 60.00, 60.00, 60.00 degrees
Sites, in units of the cell vectors:
Pu 0.2500 0.2500 0.2500
Pu 0.7500 0.7500 0.7500
Ga 0.0000 0.0000 0.0000
I 0.5000 0.5000 0.5000


#2
Entry from Alexandria: an optimized crystal structure of Pu2GaI (PBE).

Cell lengths 3.5839, 3.5839, 8.1747 Å; angles 90.00, 90.00, 90.00 degrees
Sites, in units of the cell vectors:
Pu 0.0000 0.0000 0.2190
Pu 0.0000 0.0000 0.7810
Ga 0.5000 0.5000 0.0000
I 0.5000 0.5000 0.5000


Energy comparison, zero being the most stable, in eV/atom: #1 0.183; #2 0.000.


#1
Entry from Alexandria: an optimized crystal structure of RbGa2I2 (PBE).

Cell lengths 10.4526, 10.4526, 10.4526 Å; angles 156.90, 156.90, 32.89 degrees
Sites, in units of the cell vectors:
Rb 0.0000 0.0000 0.0000
Ga 0.2500 0.7500 0.5000
Ga 0.7500 0.2500 0.5000
I 0.3873 0.3873 0.0000
I 0.6127 0.6127 0.0000


#2
Entry from Alexandria: an optimized crystal structure of RbGa2I2 (PBE).

Cell lengths 9.4207, 9.4207, 4.7172 Å; angles 90.00, 90.00, 90.00 degrees
Sites, in units of the cell vectors:
Rb 0.0000 0.0000 0.0000
Rb 0.5000 0.5000 0.0000
Ga 0.1871 0.3129 0.5000
Ga 0.3129 0.8129 0.5000
Ga 0.6871 0.1871 0.5000
Ga 0.8129 0.6871 0.5000
I 0.1546 0.6546 0.0000
I 0.3454 0.1546 0.0000
I 0.6546 0.8454 0.0000
I 0.8454 0.3454 0.0000


Energy comparison, zero being the most stable, in eV/atom: #1 0.000; #2 0.271.